Here is a relaxed AcBeTcO6 crystal from Alexandria via LeMat-Bulk. Energies are from PBE.

a b c (Å): 4.9999 4.9999 10.6640
angles (deg): 90.00 90.00 120.00
Atoms (fractional coordinates):
O 0.0053 0.6115 0.8504
O 0.9947 0.3885 0.1496
O 0.3938 0.3885 0.3504
Be 0.3333 0.6667 0.7500
Tc 0.6667 0.3333 0.7500
Ac 0.0000 0.0000 0.0000
Ac 0.0000 0.0000 0.5000
O 0.6115 0.6062 0.1496
O 0.6062 0.9947 0.8504
O 0.3885 0.3938 0.8504
Be 0.6667 0.3333 0.2500
O 0.3938 0.0053 0.1496
Tc 0.3333 0.6667 0.2500
O 0.6062 0.6115 0.6496
O 0.3885 0.9947 0.6496
O 0.9947 0.6062 0.3504
O 0.0053 0.3938 0.6496
O 0.6115 0.0053 0.3504

Here is a relaxed AcBeTeO6 crystal from Alexandria via LeMat-Bulk. Energies are from PBE.

Computed properties:
* DOS(E_F): 0.78 states/eV/atom

a b c (Å): 5.0553 5.0553 10.8232
angles (deg): 90.00 90.00 120.00
Atoms (fractional coordinates):
Ac 0.0000 0.0000 0.0000
Be 0.3333 0.6667 0.7500
O 0.0087 0.3886 0.6492
O 0.6114 0.6200 0.6492
Ac 0.0000 0.0000 0.5000
O 0.3800 0.3886 0.8508
Te 0.3333 0.6667 0.2500
Te 0.6667 0.3333 0.7500
O 0.3800 0.9913 0.6492
O 0.0087 0.6200 0.8508
O 0.6200 0.6114 0.1492
O 0.6114 0.9913 0.8508
O 0.6200 0.0087 0.3508
O 0.9913 0.3800 0.1492
O 0.3886 0.3800 0.3508
Be 0.6667 0.3333 0.2500
O 0.9913 0.6114 0.3508
O 0.3886 0.0087 0.1492

Here is a relaxed AcBeTe2O8 crystal from Alexandria via LeMat-Bulk. Energies are from PBE.

Computed properties:
* DOS(E_F): 0.13 states/eV/atom

a b c (Å): 5.0124 5.0195 6.6689
angles (deg): 90.00 90.00 79.46
Atoms (fractional coordinates):
O 0.1945 0.8043 0.8039
Ac 0.0000 0.0000 0.5000
O 0.8056 0.1958 0.8039
Te 0.5000 0.5000 0.7755
O 0.6750 0.6756 0.0000
O 0.8055 0.1957 0.1961
O 0.3250 0.3244 0.0000
O 0.1944 0.8042 0.1961
O 0.3418 0.3403 0.5000
Be 0.0000 0.0000 0.0000
O 0.6582 0.6597 0.5000
Te 0.5000 0.5000 0.2245

Here is a relaxed AcTi2BeO7 crystal from Alexandria via LeMat-Bulk. Energies are from PBE.

Computed properties:
* DOS(E_F): 0.55 states/eV/atom

a b c (Å): 3.8609 3.8609 8.8083
angles (deg): 102.66 102.66 90.00
Atoms (fractional coordinates):
Ac 0.5000 0.5000 0.0000
O 0.8941 0.3941 0.7882
O 0.3698 0.8698 0.7397
O 0.6059 0.1059 0.2118
Be 0.2500 0.7500 0.5000
Ti 0.1305 0.1305 0.2610
O 0.7595 0.7595 0.5189
O 0.2405 0.2405 0.4811
O 0.0000 0.0000 0.0000
Ti 0.8695 0.8695 0.7390
O 0.1302 0.6302 0.2603

Here is a relaxed AcBeTlO3 crystal from Alexandria via LeMat-Bulk. Energies are from PBE.

Computed properties:
* DOS(E_F): 0.00 states/eV/atom

a b c (Å): 4.6315 6.5507 8.4848
angles (deg): 97.89 90.00 110.70
Atoms (fractional coordinates):
Be 0.9438 0.8875 0.6912
O 0.9325 0.8650 0.2937
Be 0.0562 0.1125 0.3088
Ac 0.3715 0.7431 0.3455
O 0.4253 0.8506 0.6252
O 0.8314 0.6628 0.7404
Tl 0.6331 0.2662 0.1196
Tl 0.3669 0.7338 0.8804
O 0.0675 0.1350 0.7063
O 0.1686 0.3372 0.2596
O 0.5747 0.1494 0.3748
Ac 0.6285 0.2569 0.6545

Here is a relaxed Ac2Be2TlO6 crystal from Alexandria via LeMat-Bulk. Energies are from PBE.

Computed properties:
* DOS(E_F): 0.18 states/eV/atom

a b c (Å): 6.8236 6.8439 5.7313
angles (deg): 118.49 103.73 49.68
Atoms (fractional coordinates):
Be 0.0236 0.7332 0.7578
Ac 0.7664 0.4201 0.7775
O 0.6721 0.4872 0.2920
Be 0.9764 0.2668 0.2422
O 0.3279 0.5128 0.7080
O 0.1016 0.0756 0.3882
O 0.8782 0.7357 0.9269
Ac 0.2336 0.5799 0.2225
O 0.8984 0.9244 0.6118
Tl 0.5000 0.0000 0.5000
O 0.1218 0.2643 0.0731

Here is a relaxed AcBeTlO4 crystal from Alexandria via LeMat-Bulk. Energies are from PBE.

a b c (Å): 5.3013 5.6088 6.7326
angles (deg): 90.00 108.26 90.00
Atoms (fractional coordinates):
Tl 0.7970 0.7500 0.4513
Tl 0.2030 0.2500 0.5487
O 0.0265 0.5216 0.2660
O 0.5845 0.2500 0.8544
Be 0.2424 0.7500 0.3158
Ac 0.7112 0.7500 0.9163
Ac 0.2888 0.2500 0.0837
O 0.9735 0.0216 0.7340
Be 0.7576 0.2500 0.6842
O 0.4155 0.7500 0.1456
O 0.4338 0.7500 0.5547
O 0.9735 0.4784 0.7340
O 0.5662 0.2500 0.4453
O 0.0265 0.9784 0.2660

Here is a relaxed AcUBeO6 crystal from Alexandria via LeMat-Bulk. Energies are from PBE.

Computed properties:
* DOS(E_F): 1.05 states/eV/atom

a b c (Å): 5.1871 5.1871 10.9341
angles (deg): 90.00 90.00 120.00
Atoms (fractional coordinates):
Be 0.3333 0.6667 0.7500
O 0.9762 0.6173 0.3513
O 0.9762 0.3589 0.1487
O 0.6173 0.9762 0.8513
O 0.3827 0.3589 0.3513
U 0.3333 0.6667 0.2500
Ac 0.0000 0.0000 0.0000
O 0.6411 0.0238 0.3513
O 0.6173 0.6411 0.6487
O 0.3589 0.3827 0.8513
O 0.6411 0.6173 0.1487
O 0.0238 0.6411 0.8513
Ac 0.0000 0.0000 0.5000
O 0.3589 0.9762 0.6487
Be 0.6667 0.3333 0.2500
U 0.6667 0.3333 0.7500
O 0.0238 0.3827 0.6487
O 0.3827 0.0238 0.1487

Here is a relaxed AcU2BeO8 crystal from Alexandria via LeMat-Bulk. Energies are from PBE.

Computed properties:
* DOS(E_F): 0.54 states/eV/atom

a b c (Å): 4.1306 5.7911 7.0887
angles (deg): 99.05 88.33 85.16
Atoms (fractional coordinates):
O 0.0761 0.8561 0.8129
O 0.0564 0.5909 0.2770
O 0.5561 0.7076 0.0503
Be 0.0000 0.0000 0.0000
Ac 0.0000 0.0000 0.5000
U 0.5421 0.4614 0.2368
O 0.5293 0.7284 0.5183
O 0.4439 0.2924 0.9497
O 0.4707 0.2716 0.4817
O 0.9239 0.1439 0.1871
O 0.9436 0.4091 0.7230
U 0.4579 0.5386 0.7632

Number 1: raw formation energy -199.7 kJ/mol of atoms. Number 2: raw formation energy -180.6 kJ/mol of atoms. Number 3: raw formation energy -143.9 kJ/mol of atoms. Number 4: raw formation energy -258.5 kJ/mol of atoms. Number 5: raw formation energy -205.6 kJ/mol of atoms. Number 6: raw formation energy -239.0 kJ/mol of atoms. Number 7: raw formation energy -204.6 kJ/mol of atoms. Number 8: raw formation energy -262.6 kJ/mol of atoms. Number 9: raw formation energy -291.6 kJ/mol of atoms.